# Nd2HoAs3

A relaxed Nd2HoAs3 crystal (PBE-GGA, Alexandria).

Computed properties:
The calculation puts the formation energy at -1502 meV per atom. The spin magnetization comes out at 0.000 μB per formula unit. The space group is No. 139.

```
data_Nd2HoAs3
_space_group_name_H-M_alt 'P 1'
_space_group_IT_number 1
_cell_length_a 9.427
_cell_length_b 9.427
_cell_length_c 9.427
_cell_angle_alpha 154.13
_cell_angle_beta 154.13
_cell_angle_gamma 36.91
loop_
_space_group_symop_operation_xyz
'x,y,z'
loop_
_atom_site_label
_atom_site_fract_x
_atom_site_fract_y
_atom_site_fract_z
_atom_site_occupancy
Nd1 0.166 0.166 0.000 1
Nd2 0.834 0.834 0.000 1
Ho1 0.500 0.500 0.000 1
As1 0.000 0.000 0.000 1
As2 0.336 0.336 0.000 1
As3 0.664 0.664 0.000 1
```